Record 1
Computed, not measured: a relaxed Ti3V4Mo2 crystal at the GGA-PBE level of DFT.

Unit cell a=5.1435 b=5.1435 c=9.4317 alpha=107.79 beta=107.79 gamma=35.14
Positions (direct):
1 Ti 0.0000 0.0000 0.0000
2 Ti 0.3417 0.3417 0.4414
3 Ti 0.6583 0.6583 0.5586
4 V 0.0064 0.0064 0.3150
5 V 0.3252 0.3252 0.1155
6 V 0.6748 0.6748 0.8845
7 V 0.9936 0.9936 0.6850
8 Mo 0.3317 0.3317 0.7782
9 Mo 0.6683 0.6683 0.2218

Computed properties:
As for the total magnetization: 0.0 μB/cell. Its final energy is -82.2 eV for the cell shown. Its volume is 15.12 A^3/atom. As for the formation energy: -0.039 eV per atom. The space group is C2/m, No. 12.

Record 2
Computed, not measured: a relaxed Hf4OsRh crystal at the GGA-PBE level of DFT.

Unit cell a=7.3528 b=7.3528 c=5.5145 alpha=111.82 beta=111.82 gamma=25.14
Positions (direct):
1 Hf 0.1537 0.1537 0.4902
2 Hf 0.3451 0.3451 0.0134
3 Hf 0.6549 0.6549 0.9866
4 Hf 0.8463 0.8463 0.5098
5 Os 0.5000 0.5000 0.5000
6 Rh 0.0000 0.0000 0.0000

Computed properties:
As for the total magnetization: 0.0 μB/cell. Its final energy is -59.6 eV for the cell shown. Its volume is 19.52 A^3/atom. As for the formation energy: -0.194 eV per atom. The space group is C2/m, No. 12.

Record 3
Computed, not measured: a relaxed Ac3TeIrBr crystal at the GGA-PBE level of DFT.

Unit cell a=9.5047 b=4.4473 c=11.2963 alpha=90.00 beta=93.17 gamma=90.00
Positions (direct):
1 Ac 0.0976 0.2500 0.3710
2 Ac 0.1437 0.2500 0.8952
3 Ac 0.3458 0.7500 0.6345
4 Ac 0.6542 0.2500 0.3655
5 Ac 0.8563 0.7500 0.1048
6 Ac 0.9024 0.7500 0.6290
7 Te 0.3795 0.7500 0.3380
8 Te 0.6205 0.2500 0.6620
9 Ir 0.1245 0.2500 0.6424
10 Ir 0.8755 0.7500 0.3576
11 Br 0.3751 0.7500 0.9211
12 Br 0.6249 0.2500 0.0789

Computed properties:
As for the total magnetization: 0.9 μB/cell. Its final energy is -65.4 eV for the cell shown. Its volume is 39.73 A^3/atom. As for the formation energy (no corrections): -1.11 eV/atom. The space group is P2_1/m, No. 11.

> Which value of total magnetization does entry 1 give?

0.0 μB/cell

> Look up the total magnetization of the first one.

0.0 μB/cell